ZnCdFe2O4 (PBE+U, optimized geometry); DOS(E_F) = 0.08 states/eV per atom; crystal system = monoclinic; final energy = -5.382 eV/atom
1.0
6.335 -0.036 -0.011
-0.041 6.334 -0.011
-3.125 -3.127 4.559
O Fe Zn Cd
8 4 2 2
Direct
0.283 0.756 0.513
0.774 0.785 0.041
0.285 0.274 0.541
0.715 0.726 0.459
0.717 0.244 0.487
0.226 0.215 0.959
0.256 0.783 0.013
0.744 0.217 0.987
0.500 0.500 0.000
0.000 0.000 0.500
0.500 0.000 0.000
0.500 0.000 0.500
0.500 0.500 0.500
0.000 0.000 0.000
0.000 0.500 0.500
0.000 0.500 0.000